Entry 1:
Here is a relaxed ScSeN3 crystal from Alexandria via LeMat-Bulk. Energies are from GGA-PBE.

POSCAR file:
```
ScSeN3
1.0
3.746 0.000 0.000
0.000 3.746 0.000
0.000 0.000 3.746
Sc Se N
1 1 3
Cartesian
0.000 0.000 0.000
1.873 1.873 1.873
0.000 1.873 1.873
1.873 0.000 1.873
1.873 1.873 0.000
```

Formation energy from raw total energies in meV/atom: 777
V in Å³/atom: 10.51
Symmetry: Pm-3m

Entry 2:
Here is a relaxed ScSeN3 crystal from Alexandria via LeMat-Bulk. Energies are from GGA-PBE.

POSCAR file:
```
ScSeN3
1.0
4.172 0.000 0.000
0.000 4.172 0.000
0.000 0.000 4.172
Sc Se N
1 1 3
Cartesian
0.000 0.000 0.000
2.086 2.086 2.086
0.000 0.000 2.086
0.000 2.086 0.000
2.086 0.000 0.000
```

Formation energy from raw total energies in meV/atom: 1464
V in Å³/atom: 14.53
Symmetry: Pm-3m

Entry 3:
Here is a relaxed Sc2SeN crystal from Alexandria via LeMat-Bulk. Energies are from GGA-PBE.

POSCAR file:
```
Sc2SeN
1.0
3.431 0.000 0.000
-1.715 2.971 0.000
0.000 0.000 12.202
Sc Se N
4 2 2
Cartesian
0.000 1.981 1.177
0.000 1.981 4.924
1.715 0.990 7.279
1.715 0.990 11.025
0.000 1.981 9.152
1.715 0.990 3.051
0.000 0.000 0.000
0.000 0.000 6.101
```

Formation energy from raw total energies in meV/atom: -1716
V in Å³/atom: 15.55
Symmetry: P6_3/mmc

Entry 4:
Here is a relaxed Sc2SeN crystal from Alexandria via LeMat-Bulk. Energies are from GGA-PBE.

POSCAR file:
```
Sc2SeN
1.0
0.000 3.137 3.137
3.137 0.000 3.137
3.137 3.137 0.000
Sc Se N
2 1 1
Cartesian
1.569 1.569 1.569
4.706 4.706 4.706
0.000 0.000 0.000
3.137 3.137 3.137
```

Formation energy from raw total energies in meV/atom: -702
V in Å³/atom: 15.44
Symmetry: Fm-3m

Entry 5:
Here is a relaxed Sc4Se2N crystal from Alexandria via LeMat-Bulk. Energies are from GGA-PBE.

POSCAR file:
```
Sc4Se2N
1.0
6.822 -1.758 0.000
6.822 1.758 0.000
-2.826 0.000 5.548
Sc Se N
4 2 1
Cartesian
0.075 0.000 2.554
5.090 0.000 0.565
5.727 0.000 4.983
10.742 0.000 2.993
2.511 0.000 1.342
8.306 0.000 4.206
5.408 0.000 2.774
```

Formation energy from raw total energies in meV/atom: -1328
V in Å³/atom: 19.01
Symmetry: C2/m

Entry 6:
Here is a relaxed Sc2SeN crystal from Alexandria via LeMat-Bulk. Energies are from GGA-PBE.

POSCAR file:
```
Sc2SeN
1.0
-2.819 2.819 4.986
2.819 -2.819 4.986
2.819 2.819 -4.986
Sc Se N
4 2 2
Cartesian
4.228 0.950 -1.247
0.950 1.409 1.247
-1.409 1.868 3.740
1.868 1.409 6.233
2.819 0.000 2.493
0.000 0.000 4.986
0.000 0.000 0.000
0.000 2.819 2.493
```

Formation energy from raw total energies in meV/atom: -1484
V in Å³/atom: 19.81
Symmetry: I-42d

Entry 7:
Here is a relaxed Sc2SeN crystal from Alexandria via LeMat-Bulk. Energies are from GGA-PBE.

POSCAR file:
```
Sc2SeN
1.0
1.706 0.985 6.190
-1.706 0.985 6.190
0.000 -1.970 6.190
Sc Se N
2 1 1
Cartesian
0.000 0.000 0.000
0.000 0.000 3.808
0.000 0.000 8.103
0.000 0.000 11.270
```

Formation energy from raw total energies in meV/atom: -1668
V in Å³/atom: 15.61
Symmetry: R3m

Entry 8:
Here is a relaxed Sc2SeN crystal from Alexandria via LeMat-Bulk. Energies are from GGA-PBE.

POSCAR file:
```
Sc2SeN
1.0
2.064 1.192 6.554
-2.064 1.192 6.554
0.000 -2.383 6.554
Sc Se N
2 1 1
Cartesian
0.000 0.000 1.853
0.000 0.000 17.809
0.000 0.000 9.831
0.000 0.000 0.000
```

Formation energy from raw total energies in meV/atom: -920
V in Å³/atom: 24.18
Symmetry: R-3m

Entry 9:
Here is a relaxed Sc2SeN crystal from Alexandria via LeMat-Bulk. Energies are from GGA-PBE.

POSCAR file:
```
Sc2SeN
1.0
1.695 0.979 7.362
-1.695 0.979 7.362
0.000 -1.958 7.362
Sc Se N
2 1 1
Cartesian
0.000 0.000 2.552
0.000 0.000 19.533
0.000 0.000 0.000
0.000 0.000 11.043
```

Formation energy from raw total energies in meV/atom: -1133
V in Å³/atom: 18.32
Symmetry: R-3m

Entry 10:
Here is a relaxed Sc3Se2N crystal from Alexandria via LeMat-Bulk. Energies are from GGA-PBE.

POSCAR file:
```
Sc3Se2N
1.0
3.298 -5.516 0.000
3.298 5.516 0.000
-2.025 0.000 5.831
Sc Se N
6 4 2
Cartesian
0.636 2.758 2.915
1.242 0.740 0.029
0.229 -0.740 2.944
1.649 -2.758 0.000
4.341 0.740 2.886
3.329 -0.740 5.802
2.791 2.645 1.458
1.779 0.883 4.373
2.791 -0.883 1.458
1.779 -2.645 4.373
1.779 4.734 4.373
2.791 -4.734 1.458
```

Formation energy from raw total energies in meV/atom: -1548
V in Å³/atom: 17.68
Symmetry: C2/c

Entry 11:
Here is a relaxed Sc3SeN crystal from Alexandria via LeMat-Bulk. Energies are from GGA-PBE.

POSCAR file:
```
Sc3SeN
1.0
4.398 0.000 0.000
0.000 4.398 0.000
0.000 0.000 4.398
Sc Se N
3 1 1
Cartesian
0.000 0.000 2.199
0.000 2.199 0.000
2.199 0.000 0.000
2.199 2.199 2.199
0.000 0.000 0.000
```

Formation energy from raw total energies in meV/atom: -1022
V in Å³/atom: 17.01
Symmetry: Pm-3m

Entry 12:
Here is a relaxed ScSiSeN2 crystal from Alexandria via LeMat-Bulk. Energies are from GGA-PBE.

POSCAR file:
```
ScSiSeN2
1.0
3.634 0.000 0.000
0.000 3.634 0.000
0.000 0.000 5.136
Sc Si Se N
1 1 1 2
Cartesian
0.000 0.000 0.000
1.817 1.817 2.568
1.817 1.817 0.000
0.000 1.817 2.568
1.817 0.000 2.568
```

Formation energy from raw total energies in meV/atom: -138
V in Å³/atom: 13.57
Symmetry: P4/mmm